Record 1
Zr3Co2Rh (GGA-PBE, optimized geometry); total moment = 0.28 μB/atom; formation energy = -431 meV/atom; final energy = -49.796 eV per cell
1.0
2.286 -6.823 0.000
2.286 6.823 0.000
0.000 0.000 3.249
Zr Co Rh
3 2 1
direct
0.000 0.000 0.000
0.329 0.671 0.000
0.671 0.329 0.000
0.166 0.834 0.500
0.834 0.166 0.500
0.500 0.500 0.500

Record 2
LaTlMo (GGA-PBE, optimized geometry); total moment = 0.00 μB/atom; formation energy = 631 meV/atom; final energy = -16.232 eV per cell
1.0
3.168 0.000 0.000
-1.584 2.744 0.000
0.000 0.000 8.199
La Tl Mo
1 1 1
direct
0.000 0.000 0.000
0.333 0.667 0.627
0.667 0.333 0.334

Record 3
TlNi2P (GGA-PBE, optimized geometry); total moment = 0.00 μB/atom; formation energy = 87 meV/atom; final energy = -18.990 eV per cell
1.0
2.974 0.000 0.000
0.000 3.425 0.000
-0.327 0.000 6.485
Tl Ni P
1 2 1
direct
0.000 0.000 0.000
0.257 0.500 0.663
0.743 0.500 0.337
0.500 0.000 0.500

Record 4
NaGeSe2 (GGA-PBE, optimized geometry); total moment = 0.00 μB/atom; formation energy without anion corrections = -0.4558 eV/atom; final energy = -14.729 eV per cell
1.0
3.891 0.000 0.000
0.019 3.891 0.000
1.836 1.907 6.808
Na Ge Se
1 1 2
direct
0.000 0.000 0.000
0.254 0.751 0.499
0.375 0.371 0.253
0.638 0.627 0.745

Record 5
CaLa4Ho2 (GGA-PBE, optimized geometry); total moment = 0.00 μB/atom; formation energy = 26 meV/atom; final energy = -30.688 eV per cell
1.0
1.844 1.065 21.298
-1.844 1.065 21.298
0.000 -2.129 21.298
Ca La Ho
1 4 2
direct
0.000 0.000 0.000
0.143 0.143 0.143
0.282 0.282 0.282
0.718 0.718 0.718
0.857 0.857 0.857
0.429 0.429 0.429
0.571 0.571 0.571

Record 6
NpPdPt5 (GGA-PBE, optimized geometry); total moment = 0.43 μB/atom; formation energy = -350 meV/atom; final energy = -203.136 eV per cell
1.0
9.607 0.000 0.000
0.000 5.405 0.000
0.000 0.000 9.461
Np Pd Pt
4 4 20
direct
0.237 0.250 0.000
0.263 0.750 0.500
0.737 0.250 0.500
0.763 0.750 0.000
0.245 0.250 0.298
0.255 0.750 0.798
0.745 0.250 0.202
0.755 0.750 0.702
0.000 0.001 0.752
0.000 0.499 0.752
0.000 0.501 0.248
0.000 0.999 0.248
0.022 0.250 0.499
0.054 0.750 0.999
0.246 0.250 0.701
0.254 0.750 0.201
0.446 0.250 0.499
0.478 0.750 0.999
0.500 0.001 0.748
0.500 0.499 0.748
0.500 0.501 0.252
0.500 0.999 0.252
0.522 0.250 0.001
0.554 0.750 0.501
0.746 0.250 0.799
0.754 0.750 0.299
0.946 0.250 0.001
0.978 0.750 0.501

Record 7
InRu2Rh (GGA-PBE, optimized geometry); total moment = 0.00 μB/atom; formation energy = 672 meV/atom; final energy = -51.905 eV per cell
1.0
-3.634 3.634 2.628
3.634 -3.634 2.628
3.634 3.634 -2.628
In Ru Rh
2 4 2
direct
0.000 0.000 0.000
0.750 0.250 0.500
0.158 0.125 0.533
0.375 0.842 0.967
0.592 0.625 0.467
0.875 0.408 0.033
0.250 0.750 0.500
0.500 0.500 0.000

Record 8
Tb2MgNi (GGA-PBE, optimized geometry); total moment = 0.00 μB/atom; formation energy = -240 meV/atom; final energy = -17.594 eV per cell
1.0
3.459 0.000 0.000
0.000 3.459 0.000
0.000 0.000 7.924
Tb Mg Ni
2 1 1
direct
0.000 0.000 0.203
0.000 0.000 0.797
0.500 0.500 0.500
0.500 0.500 0.000